A plane-wave DFT calculation with PBE was carried out for a geometry-optimized Ac2Hg5Au3 structure.

Results
**ΔE_f**: -0.384 eV per atom
**Raw total energy**: -2.340 eV/atom
**Fermi-level density of states**: 4.59 states/eV/f.u.

Lattice parameters (Å, degrees): 12.6206 12.9972 6.3769 90.00 90.00 90.00
Space group Ibam (No. 72)
Unique sites:
1 Ac 0.1264 0.2470 0.0000
2 Hg 0.0000 0.0000 0.2500
3 Hg 0.1188 0.3617 0.5000
4 Hg 0.2459 0.0000 0.2500
5 Au 0.0000 0.5000 0.2500
6 Au 0.1248 0.1486 0.5000

=====

A plane-wave DFT calculation with PBE was carried out for a geometry-optimized Rb2ZnNF6 structure.

Results
**Raw total energy**: -3.895 eV/atom
**Fermi-level density of states**: 0.00 states/eV/f.u.
**Energy relative to the elements, uncorrected**: -1.62 eV/atom

Lattice parameters (Å, degrees): 5.6648 5.6648 9.7633 90.00 90.00 90.00
Space group I4/mmm (No. 139)
Unique sites:
1 Rb 0.0000 0.5000 0.2500
2 Zn 0.0000 0.0000 0.0000
3 N 0.0000 0.0000 0.5000
4 F 0.0000 0.0000 0.1937
5 F 0.2265 0.2265 0.5000

=====

A plane-wave DFT calculation with PBE was carried out for a geometry-optimized MgTl5Bi2 structure.

Results
**ΔE_f**: -0.044 eV per atom
**Raw total energy**: -2.692 eV/atom
**Fermi-level density of states**: 2.91 states/eV/f.u.

Lattice parameters (Å, degrees): 7.1000 14.2718 4.8170 90.00 90.00 90.00
Space group Pbam (No. 55)
Unique sites:
1 Mg 0.0000 0.0000 0.0000
2 Tl 0.0000 0.5000 0.0000
3 Tl 0.0531 0.2454 0.0000
4 Tl 0.1982 0.6340 0.5000
5 Bi 0.1943 0.8937 0.5000

=====

A plane-wave DFT calculation with PBE was carried out for a geometry-optimized NbAlCl8 structure.

Results
**Raw total energy**: -4.209 eV/atom
**Fermi-level density of states**: 0.00 states/eV/f.u.
**Energy relative to the elements, uncorrected**: -1.35 eV/atom

Lattice parameters (Å, degrees): 8.7288 18.0054 8.8056 90.00 90.00 90.00
Space group Cmcm (No. 63)
Unique sites:
1 Nb 0.0000 0.1142 0.2500
2 Al 0.0000 0.3135 0.2500
3 Cl 0.0000 0.1342 0.5107
4 Cl 0.0000 0.3760 0.0474
5 Cl 0.1902 0.2307 0.2500
6 Cl 0.2032 0.0360 0.2500

=====

A plane-wave DFT calculation with PBE was carried out for a geometry-optimized Co2CuPd structure.

Results
**ΔE_f**: 0.260 eV per atom
**Raw total energy**: -5.615 eV/atom
**Fermi-level density of states**: 7.15 states/eV/f.u.

Lattice parameters (Å, degrees): 5.8729 5.8729 5.8729 90.00 90.00 90.00
Space group Fm-3m (No. 225)
Unique sites:
1 Co 0.2500 0.2500 0.2500
2 Cu 0.0000 0.0000 0.0000
3 Pd 0.0000 0.0000 0.5000

=====

A plane-wave DFT calculation with PBE was carried out for a geometry-optimized TbTmTlBi structure.

Results
**ΔE_f**: -0.383 eV per atom
**Raw total energy**: -4.220 eV/atom
**Fermi-level density of states**: 3.61 states/eV/f.u.

Lattice parameters (Å, degrees): 7.6760 7.6760 7.6760 90.00 90.00 90.00
Space group F-43m (No. 216)
Unique sites:
1 Tb 0.0000 0.0000 0.0000
2 Tm 0.0000 0.0000 0.5000
3 Tl 0.2500 0.2500 0.7500
4 Bi 0.2500 0.2500 0.2500

=====

A plane-wave DFT calculation with PBE was carried out for a geometry-optimized Fe2Tc structure.

Results
**ΔE_f**: 0.075 eV per atom
**Raw total energy**: -9.022 eV/atom
**Fermi-level density of states**: 2.36 states/eV/f.u.

Lattice parameters (Å, degrees): 4.1321 4.1321 2.5360 90.00 90.00 120.00
Space group P-3m1 (No. 164)
Unique sites:
1 Fe 0.3333 0.6667 0.1299
2 Tc 0.0000 0.0000 0.5000

=====

A plane-wave DFT calculation with PBE was carried out for a geometry-optimized Dy2ErPt9 structure.

Results
**ΔE_f**: -1.049 eV per atom
**Raw total energy**: -6.727 eV/atom
**Fermi-level density of states**: 11.60 states/eV/f.u.

Lattice parameters (Å, degrees): 4.1126 4.1126 12.3369 90.00 90.00 90.00
Space group P4/mmm (No. 123)
Unique sites:
1 Dy 0.0000 0.0000 0.1671
2 Er 0.0000 0.0000 0.5000
3 Pt 0.0000 0.5000 0.0000
4 Pt 0.0000 0.5000 0.3346
5 Pt 0.5000 0.5000 0.1673
6 Pt 0.5000 0.5000 0.5000

=====

Question: Which formula does entry 7 have?
Answer: Fe2Tc

=====

Question: Which formula does entry 7 have?
Answer: Fe2Tc

=====

Please write out number 3 again, unchanged.
A plane-wave DFT calculation with PBE was carried out for a geometry-optimized MgTl5Bi2 structure.

Results
**ΔE_f**: -0.044 eV per atom
**Raw total energy**: -2.692 eV/atom
**Fermi-level density of states**: 2.91 states/eV/f.u.

Lattice parameters (Å, degrees): 7.1000 14.2718 4.8170 90.00 90.00 90.00
Space group Pbam (No. 55)
Unique sites:
1 Mg 0.0000 0.0000 0.0000
2 Tl 0.0000 0.5000 0.0000
3 Tl 0.0531 0.2454 0.0000
4 Tl 0.1982 0.6340 0.5000
5 Bi 0.1943 0.8937 0.5000